Density functional theory data (PBE) for a relaxed Pu2MnSn8 crystal.

Cell: 4.6629 4.6629 12.3541 Å, 90.00 90.00 90.00°
Fractional coordinates of all 11 atoms:
Pu (0.0000, 0.0000, 0.1919)
Pu (0.0000, 0.0000, 0.8081)
Mn (0.0000, 0.0000, 0.5000)
Sn (0.0000, 0.5000, 0.0000)
Sn (0.0000, 0.5000, 0.3776)
Sn (0.0000, 0.5000, 0.6224)
Sn (0.5000, 0.0000, 0.0000)
Sn (0.5000, 0.0000, 0.3776)
Sn (0.5000, 0.0000, 0.6224)
Sn (0.5000, 0.5000, 0.1866)
Sn (0.5000, 0.5000, 0.8134)

Properties
- DFT formation energy: -0.21 eV/atom


Density functional theory data (PBE) for a relaxed PuMnTcSn crystal.

Cell: 6.5826 6.5826 6.5826 Å, 90.00 90.00 90.00°
Fractional coordinates of all 16 atoms:
Pu (0.0000, 0.0000, 0.0000)
Pu (0.0000, 0.5000, 0.5000)
Pu (0.5000, 0.0000, 0.5000)
Pu (0.5000, 0.5000, 0.0000)
Mn (0.2500, 0.2500, 0.2500)
Mn (0.2500, 0.7500, 0.7500)
Mn (0.7500, 0.2500, 0.7500)
Mn (0.7500, 0.7500, 0.2500)
Tc (0.2500, 0.2500, 0.7500)
Tc (0.2500, 0.7500, 0.2500)
Tc (0.7500, 0.2500, 0.2500)
Tc (0.7500, 0.7500, 0.7500)
Sn (0.0000, 0.0000, 0.5000)
Sn (0.0000, 0.5000, 0.0000)
Sn (0.5000, 0.0000, 0.0000)
Sn (0.5000, 0.5000, 0.5000)

Properties
- DFT formation energy: -0.07 eV/atom